A relaxed structure of ZrSi2Tc. Source: the Alexandria database, functional PBE-GGA.

a b c (Å): 7.8847 3.1197 5.4643
angles (deg): 90.00 101.35 90.00
With the nearest neighbours (Å) after each atom.
Space group C2/m (No. 12)
Inequivalent atoms, fractional coordinates:
Zr  0.0000  0.0000  0.0000 x2  6 Si 2.80-2.89, 2 Zr 3.12
Si  0.2373  0.0000  0.6808 x4  3 Tc 2.46-2.49, 2 Si 2.56
Tc  0.0000  0.5000  0.5000 x2  6 Si 2.46-2.49

Values from the calculation:
DOS(E_F)	0.554	states/eV per atom
uncorrected formation energy	-0.46	eV/atom
E_tot	-7.900	eV per atom
relative energy among the computed polymorphs	0.0667	eV per atom